The following is a DFT calculation (PBE with a Hubbard U) of a geometry-optimized HoMoO3 structure.

Lattice parameters (Å, degrees): 3.301 5.679 8.135 90.00 101.71 90.00
Fractional coordinates of all 10 atoms:
Ho (0.815, 0.490, 0.631)
Ho (0.185, 0.990, 0.369)
Mo (0.487, 0.037, 0.974)
Mo (0.513, 0.537, 0.026)
O (0.727, 0.206, 0.455)
O (0.273, 0.706, 0.545)
O (0.958, 0.770, 0.916)
O (0.042, 0.270, 0.084)
O (0.598, 0.828, 0.197)
O (0.402, 0.328, 0.803)

## Properties
Density (g/cm3): 6.87
E (eV/atom): -7.697
Symmetry: Cmc2_1, No. 36
Crystal system: orthorhombic